Entry 1:
An optimized crystal structure of Cu6Ge2Pd. Source: Alexandria, functional PBE.

Calculated values
- D(E_F) (states/eV per cell) = 2.6

```
data_Cu6Ge2Pd
_chemical_formula_sum 'Cu12 Ge4 Pd2'
_space_group_name_H-M_alt 'C 1 2/m 1'
_space_group_IT_number 12
_cell_length_a 12.8268
_cell_length_b 4.9605
_cell_length_c 4.0977
_cell_angle_alpha 90.00
_cell_angle_beta 108.63
_cell_angle_gamma 90.00
loop_
_space_group_symop_operation_xyz
'x,y,z'
'-x,-y,-z'
'-x,y,-z'
'x,-y,z'
'x+1/2,y+1/2,z'
'-x+1/2,-y+1/2,-z'
'-x+1/2,y+1/2,-z'
'x+1/2,-y+1/2,z'
loop_
_atom_site_label
_atom_site_fract_x
_atom_site_fract_y
_atom_site_fract_z
Cu1 0.1048 0.2433 0.1048
Cu2 0.2149 0.0000 0.7165
Ge1 0.1410 0.5000 0.6408
Pd1 0.0000 0.0000 0.5000
```

Entry 2:
An optimized crystal structure of Cu2Ge5Pd12. Source: Alexandria, functional PBE.

Calculated values
- D(E_F) (states/eV per cell) = 13.0

```
data_Cu2Ge5Pd12
_chemical_formula_sum 'Cu4 Ge10 Pd24'
_space_group_name_H-M_alt 'C 1 2/m 1'
_space_group_IT_number 12
_cell_length_a 14.2389
_cell_length_b 5.5011
_cell_length_c 8.3749
_cell_angle_alpha 90.00
_cell_angle_beta 104.50
_cell_angle_gamma 90.00
loop_
_space_group_symop_operation_xyz
'x,y,z'
'-x,-y,-z'
'-x,y,-z'
'x,-y,z'
'x+1/2,y+1/2,z'
'-x+1/2,-y+1/2,-z'
'-x+1/2,y+1/2,-z'
'x+1/2,-y+1/2,z'
loop_
_atom_site_label
_atom_site_fract_x
_atom_site_fract_y
_atom_site_fract_z
Cu1 0.0000 0.2418 0.0000
Ge1 0.0000 0.5000 0.5000
Ge2 0.1531 0.0000 0.8562
Ge3 0.1898 0.0000 0.3560
Pd1 0.0113 0.0000 0.3221
Pd2 0.0738 0.5000 0.2722
Pd3 0.1552 0.2491 0.5927
Pd4 0.1898 0.2530 0.1100
```

Entry 3:
An optimized crystal structure of Cu5GePd. Source: Alexandria, functional PBE.

Calculated values
- D(E_F) (states/eV per cell) = 8.3

```
data_Cu5GePd
_chemical_formula_sum 'Cu20 Ge4 Pd4'
_space_group_name_H-M_alt 'C 1 2/c 1'
_space_group_IT_number 15
_cell_length_a 8.1981
_cell_length_b 6.1212
_cell_length_c 8.6326
_cell_angle_alpha 90.00
_cell_angle_beta 115.32
_cell_angle_gamma 90.00
loop_
_space_group_symop_operation_xyz
'x,y,z'
'-x,-y,-z'
'-x,y,-z+1/2'
'x,-y,z+1/2'
'x+1/2,y+1/2,z'
'-x+1/2,-y+1/2,-z'
'-x+1/2,y+1/2,-z+1/2'
'x+1/2,-y+1/2,z+1/2'
loop_
_atom_site_label
_atom_site_fract_x
_atom_site_fract_y
_atom_site_fract_z
Cu1 0.0000 0.1434 0.2500
Cu2 0.1157 0.1338 0.9960
Cu3 0.2260 0.1231 0.7586
Ge1 0.2500 0.2500 0.5000
Pd1 0.0000 0.4265 0.7500
```

| no. | ΔH_f (0 K) (eV per atom) | size of the total moment (μB/f.u.) |
| --- | --- | --- |
| 1 | -0.018 | 0.00 |
| 2 | -0.271 | 0.00 |
| 3 | 0.066 | 0.00 |